# 1
Here is a geometry-optimized SrPaAlO5 structure from Alexandria. Energies are from PBE.

Output
uncorrected formation energy = -3306 meV/atom
crystal system = monoclinic

Cell: 5.9918 5.9918 7.9459 Å, 103.73 103.73 106.62°
With the nearest neighbours (Å) after each atom.
Fractional positions:
Sr1 0.3389 0.6611 0.2500  5 O 2.44-2.65
Sr2 0.6611 0.3389 0.7500  5 O 2.44-2.65
Pa1 0.0000 0.0000 0.5000  6 O 2.15-2.22
Pa2 0.0000 0.0000 0.0000  6 O 2.15-2.22
Al1 0.6833 0.3167 0.2500  4 O 1.79-1.80
Al2 0.3167 0.6833 0.7500  4 O 1.79-1.80
O1 0.0851 0.9149 0.2500  2 Pa 2.15
O2 0.9149 0.0851 0.7500  2 Pa 2.15
O3 0.8955 0.3111 0.1241  1 Al 1.80
O4 0.1045 0.6889 0.8759  1 Al 1.80
O5 0.6889 0.1045 0.3759  1 Al 1.80
O6 0.3111 0.8955 0.6241  1 Al 1.80
O7 0.7461 0.6178 0.4024  1 Al 1.79
O8 0.2539 0.3822 0.5976  1 Al 1.79
O9 0.3822 0.2539 0.0976  1 Al 1.79
O10 0.6178 0.7461 0.9024  1 Al 1.79

---

# 2
Here is a geometry-optimized BaLa2Pt9 structure from Alexandria. Energies are from PBE.

Output
energy of formation = -0.85 eV/atom
crystal system = trigonal

Cell: 5.5788 5.5788 9.4909 Å, 72.91 72.91 60.00°
With the nearest neighbours (Å) after each atom.
Fractional positions:
Ba1 0.0000 0.0000 0.0000  18 Pt 3.22-3.60
La1 0.8609 0.8609 0.4173  12 Pt 3.14-3.33
La2 0.1391 0.1391 0.5827  12 Pt 3.14-3.33
Pt1 0.6684 0.6684 0.9948  6 Pt 2.74-2.83
Pt2 0.3316 0.3316 0.0052  6 Pt 2.74-2.83
Pt3 0.5000 0.5000 0.5000  6 Pt 2.73
Pt4 0.4133 0.4133 0.2548  7 Pt 2.73-2.83
Pt5 0.9186 0.4133 0.2548  7 Pt 2.73-2.83
Pt6 0.4133 0.9186 0.2548  7 Pt 2.73-2.83
Pt7 0.5867 0.5867 0.7452  7 Pt 2.73-2.83
Pt8 0.5867 0.0814 0.7452  7 Pt 2.73-2.83
Pt9 0.0814 0.5867 0.7452  7 Pt 2.73-2.83

---

# 3
Here is a geometry-optimized Hf3OsBr structure from Alexandria. Energies are from PBE.

Output
ΔE to the lowest computed polymorph = 0 meV per atom
uncorrected formation energy = 366 meV/atom
crystal system = cubic

Cell: 5.0834 5.0834 5.0834 Å, 90.00 90.00 90.00°
With the nearest neighbours (Å) after each atom.
Fractional positions:
Hf1 0.0000 0.5000 0.0000  2 Os 2.54
Hf2 0.0000 0.0000 0.5000  2 Os 2.54
Hf3 0.5000 0.0000 0.0000  2 Os 2.54
Os1 0.0000 0.0000 0.0000  6 Hf 2.54
Br1 0.5000 0.5000 0.5000  12 Hf 3.59

---

# 4
Here is a geometry-optimized Ni2MoOs structure from Alexandria. Energies are from PBE.

Output
ΔE to the lowest computed polymorph = 527 meV per atom
energy of formation = 0.51 eV/atom
crystal system = tetragonal

Cell: 3.6060 3.6060 9.1525 Å, 78.64 78.64 90.00°
With the nearest neighbours (Å) after each atom.
Fractional positions:
Ni1 0.6339 0.1250 0.2500  4 Ni 2.50-2.60, 2 Os 2.53, 2 Mo 2.55
Ni2 0.1161 0.6250 0.2500  4 Ni 2.50-2.60, 2 Os 2.53, 2 Mo 2.55
Ni3 0.3750 0.3661 0.7500  4 Ni 2.50-2.60, 2 Os 2.53, 2 Mo 2.55
Ni4 0.8750 0.8839 0.7500  4 Ni 2.50-2.60, 2 Os 2.53, 2 Mo 2.55
Mo1 0.5000 0.5000 0.0000  4 Os 2.55, 4 Ni 2.55
Mo2 0.2500 0.7500 0.5000  4 Os 2.55, 4 Ni 2.55
Os1 0.0000 0.0000 0.0000  4 Ni 2.53, 4 Mo 2.55
Os2 0.7500 0.2500 0.5000  4 Ni 2.53, 4 Mo 2.55

---

# 5
Here is a geometry-optimized TlMoPCl2 structure from Alexandria. Energies are from PBE.

Output
ΔE to the lowest computed polymorph = 0 meV per atom
uncorrected formation energy = -224 meV/atom
crystal system = tetragonal

Cell: 5.1221 5.1221 4.7160 Å, 90.00 90.00 90.00°
With the nearest neighbours (Å) after each atom.
Fractional positions:
P1 0.0000 0.0000 0.5000  2 Mo 2.36
Tl1 0.5000 0.5000 0.5000  8 Cl 3.48, 4 P 3.62
Mo1 0.0000 0.0000 0.0000  2 P 2.36, 4 Cl 2.56
Cl1 0.0000 0.5000 0.0000  2 Mo 2.56
Cl2 0.5000 0.0000 0.0000  2 Mo 2.56

---

# 6
Here is a geometry-optimized Na2PmInI6 structure from Alexandria. Energies are from PBE.

Output
uncorrected formation energy = -1148 meV/atom
crystal system = trigonal

Cell: 8.1785 8.1787 8.8648 Å, 62.52 62.51 59.96°
With the nearest neighbours (Å) after each atom.
Fractional positions:
Na1 0.5151 0.5148 0.4554  6 I 3.26-3.33
Na2 0.0038 0.0039 0.9890  6 I 3.22-3.30
Pm1 0.3265 0.3264 0.0206  6 I 3.12-3.14
In1 0.8151 0.8153 0.5542  6 I 3.42-3.58
I1 0.5817 0.2423 0.2406  1 Pm 3.12, 2 Na 3.26-3.30
I2 0.2422 0.9353 0.2406  1 Pm 3.12, 2 Na 3.26-3.29
I3 0.9353 0.5820 0.2406  1 Pm 3.12, 2 Na 3.26-3.30
I4 0.3843 0.7260 0.7580  1 Pm 3.14, 2 Na 3.22-3.33, 1 In 3.42
I5 0.7262 0.1313 0.7582  1 Pm 3.14, 2 Na 3.22-3.33, 1 In 3.42
I6 0.1315 0.3844 0.7581  1 Pm 3.14, 2 Na 3.22-3.33, 1 In 3.42

---

# 7
Here is a geometry-optimized YTcIr2 structure from Alexandria. Energies are from PBE.

Output
ΔE to the lowest computed polymorph = 75 meV per atom
energy of formation = -0.17 eV/atom
crystal system = monoclinic

Cell: 4.5610 2.9275 5.2169 Å, 81.03 90.00 90.00°
With the nearest neighbours (Å) after each atom.
Fractional positions:
Ir1 0.0000 0.1621 0.9749  3 Tc 2.67-2.90, 4 Ir 2.83-2.93, 4 Y 2.84-2.86
Ir2 0.5000 0.1209 0.3003  4 Tc 2.66-2.92, 2 Y 2.71-2.89, 4 Ir 2.83-2.93
Tc1 0.0000 0.5026 0.4215  7 Ir 2.66-2.92, 2 Tc 2.93
Y1 0.5000 0.7144 0.8033  7 Ir 2.71-3.02, 2 Y 2.93

---

# 8
Here is a geometry-optimized TaCrCd2 structure from Alexandria. Energies are from PBE.

Output
ΔE to the lowest computed polymorph = 314 meV per atom
energy of formation = 0.60 eV/atom
crystal system = tetragonal

Cell: 5.0431 5.0431 3.0060 Å, 90.00 90.00 90.00°
With the nearest neighbours (Å) after each atom.
Fractional positions:
Cd1 0.0000 0.0000 0.0000  4 Cr 2.94, 4 Ta 2.94, 2 Cd 3.01
Cd2 0.5000 0.5000 0.0000  4 Cr 2.94, 4 Ta 2.94, 2 Cd 3.01
Cr1 0.5000 0.0000 0.5000  8 Cd 2.94, 2 Cr 3.01
Ta1 0.0000 0.5000 0.5000  8 Cd 2.94, 2 Ta 3.01

---

# 9
Here is a geometry-optimized VGeN2Cl structure from Alexandria. Energies are from PBE.

Output
ΔE to the lowest computed polymorph = 0 meV per atom
uncorrected formation energy = 289 meV/atom
crystal system = tetragonal

Cell: 3.7557 5.4982 3.7557 Å, 90.00 90.00 90.00°
With the nearest neighbours (Å) after each atom.
Fractional positions:
N1 0.0000 0.0000 0.5000  2 V 1.88
N2 0.5000 0.0000 0.0000  2 V 1.88
Ge1 0.0000 0.5000 0.0000  4 Cl 2.66, 2 V 2.75
Cl1 0.5000 0.5000 0.5000  4 Ge 2.66
V1 0.0000 0.0000 0.0000  4 N 1.88

---

# 10
Here is a geometry-optimized GaPS2N structure from Alexandria. Energies are from PBE.

Output
ΔE to the lowest computed polymorph = 0 meV per atom
uncorrected formation energy = 421 meV/atom
crystal system = tetragonal

Cell: 4.6981 4.6981 3.3095 Å, 90.00 90.00 90.00°
With the nearest neighbours (Å) after each atom.
Fractional positions:
P1 0.0000 0.0000 0.0000  2 N 1.65
S1 0.0000 0.5000 0.0000  2 P 2.35
S2 0.5000 0.0000 0.0000  2 P 2.35
Ga1 0.5000 0.5000 0.5000  8 S 2.87
N1 0.0000 0.0000 0.5000  2 P 1.65

---

# 11
Here is a geometry-optimized SrCrGe2 structure from Alexandria. Energies are from PBE.

Output
energy of formation = -0.01 eV/atom
crystal system = tetragonal

Cell: 5.3231 5.3231 8.6088 Å, 71.99 71.99 90.00°
With the nearest neighbours (Å) after each atom.
Fractional positions:
Sr1 0.0000 0.0000 0.0000  8 Ge 3.54-3.56, 4 Cr 3.76
Sr2 0.7500 0.2500 0.5000  8 Ge 3.54-3.56, 4 Cr 3.76
Ge1 0.3767 0.1250 0.2500  2 Cr 2.35
Ge2 0.3733 0.6250 0.2500  2 Cr 2.35
Ge3 0.3750 0.6233 0.7500  2 Cr 2.35
Ge4 0.8750 0.6267 0.7500  2 Cr 2.35
Cr1 0.5000 0.5000 0.0000  4 Ge 2.35
Cr2 0.2500 0.7500 0.5000  4 Ge 2.35

---

# 12
Here is a geometry-optimized CsLa2Pb3Se6 structure from Alexandria. Energies are from PBE.

Output
uncorrected formation energy = -1128 meV/atom
crystal system = monoclinic

Cell: 4.3639 9.5715 9.8461 Å, 98.99 102.80 90.00°
With the nearest neighbours (Å) after each atom.
Fractional positions:
Cs1 0.5000 0.0000 0.0000  6 Se 3.48-3.57
La1 0.8299 0.6641 0.6598  6 Se 2.90-3.11
La2 0.1701 0.3359 0.3402  6 Se 2.90-3.11
Pb1 0.5000 0.5000 0.0000  6 Se 3.04-3.18
Pb2 0.8371 0.1739 0.6742  1 Se 2.87
Pb3 0.1629 0.8261 0.3258  1 Se 2.87
Se1 0.3141 0.8789 0.6281  1 Pb 2.87, 2 La 3.05
Se2 0.6679 0.5626 0.3358  3 La 3.08-3.11, 3 Pb 3.18-3.35
Se3 0.6859 0.1211 0.3719  1 Pb 2.87, 2 La 3.05
Se4 0.0171 0.2863 0.0342  1 La 2.90, 2 Pb 3.04
Se5 0.9829 0.7137 0.9658  1 La 2.90, 2 Pb 3.04
Se6 0.3321 0.4374 0.6642  3 La 3.08-3.11, 3 Pb 3.18-3.35

---

# 13
Here is a geometry-optimized RbAc2IO8 structure from Alexandria. Energies are from PBE.

Output
uncorrected formation energy = -1815 meV/atom
crystal system = triclinic

Cell: 4.6954 5.4449 8.0855 Å, 90.04 75.77 90.10°
With the nearest neighbours (Å) after each atom.
Fractional positions:
Rb1 0.0000 0.0000 0.5000  10 O 3.14-3.42
Ac1 0.3766 0.5003 0.8034  8 O 2.49-2.75
Ac2 0.6234 0.4997 0.1966  8 O 2.49-2.75
I1 0.0000 0.0000 0.0000  6 O 1.90-1.92
O1 0.1717 0.7393 0.1027  1 I 1.92
O2 0.8271 0.7396 0.8969  1 I 1.92
O3 0.6852 0.9999 0.1987  1 I 1.90
O4 0.8283 0.2607 0.8973  1 I 1.92
O5 0.1729 0.2604 0.1031  1 I 1.92
O6 0.3148 0.0001 0.8013  1 I 1.90
O7 0.3367 0.5002 0.5017  1 O 1.53
O8 0.6633 0.4998 0.4983  1 O 1.53